Entry w
DFT (PBE-GGA) results for TaOs2Rh after structural relaxation. Values from VASP.

Calculated values
- crystal system = monoclinic

Cell and atoms, written as Quantum ESPRESSO input:
```
&SYSTEM
  ibrav = 0, nat = 4, ntyp = 3
/
ATOMIC_SPECIES
Os 190.23 Os.upf
Ta 180.95 Ta.upf
Rh 102.91 Rh.upf
ATOMIC_POSITIONS crystal
Os 0.748 0.748 0.267
Os 0.252 0.252 0.733
Ta 0.500 0.500 0.000
Rh 0.000 0.000 0.500
CELL_PARAMETERS angstrom
1.396 4.574 0.001
-1.396 4.574 0.001
0.000 0.862 4.759
```

***

Entry x
DFT (PBE-GGA) results for TaOs2Rh after structural relaxation. Values from VASP.

Calculated values
- crystal system = tetragonal

Cell and atoms, written as Quantum ESPRESSO input:
```
&SYSTEM
  ibrav = 0, nat = 4, ntyp = 3
/
ATOMIC_SPECIES
Ta 180.95 Ta.upf
Os 190.23 Os.upf
Rh 102.91 Rh.upf
ATOMIC_POSITIONS crystal
Ta 0.500 0.500 0.500
Os 0.000 0.000 0.240
Os 0.000 0.000 0.760
Rh 0.500 0.500 0.000
CELL_PARAMETERS angstrom
-2.520 -0.945 -0.668
1.123 -2.387 -0.857
-0.809 -2.992 7.280
```

***

The winner here is entry w, beating the second structure by 143 meV/atom.

***

Entry w
DFT (PBE-GGA) results for TaOs2Rh after structural relaxation. Values from VASP.

Calculated values
- crystal system = tetragonal

Cell and atoms, written as Quantum ESPRESSO input:
```
&SYSTEM
  ibrav = 0, nat = 4, ntyp = 3
/
ATOMIC_SPECIES
Rh 102.91 Rh.upf
Os 190.23 Os.upf
Ta 180.95 Ta.upf
ATOMIC_POSITIONS crystal
Rh 0.500 0.500 0.000
Os 0.250 0.750 0.500
Os 0.750 0.250 0.500
Ta 0.000 0.000 0.000
CELL_PARAMETERS angstrom
3.457 -1.710 2.886
0.557 2.932 3.781
-3.902 -2.066 -1.926
```

***

Entry x
DFT (PBE-GGA) results for TaOs2Rh after structural relaxation. Values from VASP.

Calculated values
- crystal system = tetragonal

Cell and atoms, written as Quantum ESPRESSO input:
```
&SYSTEM
  ibrav = 0, nat = 4, ntyp = 3
/
ATOMIC_SPECIES
Rh 102.91 Rh.upf
Os 190.23 Os.upf
Ta 180.95 Ta.upf
ATOMIC_POSITIONS crystal
Rh 0.500 0.000 0.500
Os 0.000 0.000 0.000
Os 0.500 0.500 0.000
Ta 0.000 0.500 0.500
CELL_PARAMETERS angstrom
-0.575 3.834 0.416
-3.739 -0.657 0.886
0.956 -0.272 3.833
```

***

Entry y
DFT (PBE-GGA) results for TaOs2Rh after structural relaxation. Values from VASP.

Calculated values
- crystal system = tetragonal

Cell and atoms, written as Quantum ESPRESSO input:
```
&SYSTEM
  ibrav = 0, nat = 4, ntyp = 3
/
ATOMIC_SPECIES
Ta 180.95 Ta.upf
Os 190.23 Os.upf
Rh 102.91 Rh.upf
ATOMIC_POSITIONS crystal
Ta 0.500 0.500 0.747
Os 0.500 0.500 0.244
Os 0.000 0.000 0.018
Rh 0.000 0.000 0.492
CELL_PARAMETERS angstrom
-2.351 -1.315 -0.685
1.303 -2.446 0.221
-2.001 -0.379 7.595
```

***

The winner here is entry x, beating the second structure by 121 meV/atom.

***

Entry w
DFT (PBE-GGA) results for TaOs2Rh after structural relaxation. Values from VASP.

Calculated values
- crystal system = tetragonal

Cell and atoms, written as Quantum ESPRESSO input:
```
&SYSTEM
  ibrav = 0, nat = 4, ntyp = 3
/
ATOMIC_SPECIES
Os 190.23 Os.upf
Ta 180.95 Ta.upf
Rh 102.91 Rh.upf
ATOMIC_POSITIONS crystal
Os 0.000 0.000 0.760
Os 0.000 0.000 0.240
Ta 0.500 0.500 0.500
Rh 0.500 0.500 0.000
CELL_PARAMETERS angstrom
3.288 0.000 0.000
0.000 3.288 0.000
0.000 0.000 5.698
```

***

Entry x
DFT (PBE-GGA) results for TaOs2Rh after structural relaxation. Values from VASP.

Calculated values
- crystal system = tetragonal

Cell and atoms, written as Quantum ESPRESSO input:
```
&SYSTEM
  ibrav = 0, nat = 8, ntyp = 3
/
ATOMIC_SPECIES
Ta 180.95 Ta.upf
Os 190.23 Os.upf
Rh 102.91 Rh.upf
ATOMIC_POSITIONS crystal
Ta 0.000 0.000 0.000
Ta 0.750 0.250 0.500
Os 0.875 0.838 0.750
Os 0.375 0.412 0.750
Os 0.162 0.625 0.250
Os 0.588 0.125 0.250
Rh 0.250 0.750 0.500
Rh 0.500 0.500 0.000
CELL_PARAMETERS angstrom
3.824 0.000 0.000
0.000 3.824 0.000
1.912 1.912 9.168
```

***

The winner here is entry w, beating the second structure by 392 meV/atom.

***

Entry w
DFT (PBE-GGA) results for TaOs2Rh after structural relaxation. Values from VASP.

Calculated values
- crystal system = cubic

Cell and atoms, written as Quantum ESPRESSO input:
```
&SYSTEM
  ibrav = 0, nat = 4, ntyp = 3
/
ATOMIC_SPECIES
Ta 180.95 Ta.upf
Rh 102.91 Rh.upf
Os 190.23 Os.upf
ATOMIC_POSITIONS crystal
Ta 0.250 0.250 0.250
Rh 0.500 0.500 0.500
Os 0.000 0.000 0.000
Os 0.750 0.750 0.750
CELL_PARAMETERS angstrom
0.000 3.137 3.137
3.137 0.000 3.137
3.137 3.137 0.000
```

***

Entry x
DFT (PBE-GGA) results for TaOs2Rh after structural relaxation. Values from VASP.

Calculated values
- crystal system = tetragonal

Cell and atoms, written as Quantum ESPRESSO input:
```
&SYSTEM
  ibrav = 0, nat = 4, ntyp = 3
/
ATOMIC_SPECIES
Os 190.23 Os.upf
Rh 102.91 Rh.upf
Ta 180.95 Ta.upf
ATOMIC_POSITIONS crystal
Os 0.000 0.000 0.000
Os 0.250 0.750 0.500
Rh 0.500 0.500 0.000
Ta 0.750 0.250 0.500
CELL_PARAMETERS angstrom
-3.099 -2.756 -2.401
1.948 -1.250 -4.195
1.673 -0.263 4.482
```

***

The winner here is entry x, beating the second structure by 439 meV/atom.

***

Entry w
DFT (PBE-GGA) results for TaOs2Rh after structural relaxation. Values from VASP.

Calculated values
- crystal system = monoclinic

Cell and atoms, written as Quantum ESPRESSO input:
```
&SYSTEM
  ibrav = 0, nat = 4, ntyp = 3
/
ATOMIC_SPECIES
Os 190.23 Os.upf
Ta 180.95 Ta.upf
Rh 102.91 Rh.upf
ATOMIC_POSITIONS crystal
Os 0.000 0.000 0.000
Os 0.500 0.000 0.500
Ta 0.000 0.500 0.500
Rh 0.500 0.500 0.000
CELL_PARAMETERS angstrom
2.807 0.000 0.000
0.000 4.757 -0.003
0.000 1.509 4.519
```

***

Entry x
DFT (PBE-GGA) results for TaOs2Rh after structural relaxation. Values from VASP.

Calculated values
- crystal system = orthorhombic

Cell and atoms, written as Quantum ESPRESSO input:
```
&SYSTEM
  ibrav = 0, nat = 4, ntyp = 3
/
ATOMIC_SPECIES
Ta 180.95 Ta.upf
Os 190.23 Os.upf
Rh 102.91 Rh.upf
ATOMIC_POSITIONS crystal
Ta 0.000 0.500 0.500
Os 0.221 0.221 0.000
Os 0.779 0.779 0.000
Rh 0.500 0.000 0.500
CELL_PARAMETERS angstrom
-2.432 1.311 4.755
-4.483 3.176 0.240
2.377 -4.584 -1.890
```

***

The winner here is entry w, beating the second structure by 276 meV/atom.

***

Entry w
DFT (PBE-GGA) results for Ta3OsRh after structural relaxation. Values from VASP.

Calculated values
- crystal system = cubic

Cell and atoms, written as Quantum ESPRESSO input:
```
&SYSTEM
  ibrav = 0, nat = 5, ntyp = 3
/
ATOMIC_SPECIES
Ta 180.95 Ta.upf
Os 190.23 Os.upf
Rh 102.91 Rh.upf
ATOMIC_POSITIONS crystal
Ta 0.000 0.000 0.500
Ta 0.000 0.500 0.000
Ta 0.500 0.000 0.000
Os 0.000 0.000 0.000
Rh 0.500 0.500 0.500
CELL_PARAMETERS angstrom
4.787 0.000 0.000
0.000 4.787 0.000
0.000 0.000 4.787
```

***

Entry x
DFT (PBE-GGA) results for Ta3OsRh after structural relaxation. Values from VASP.

Calculated values
- crystal system = cubic

Cell and atoms, written as Quantum ESPRESSO input:
```
&SYSTEM
  ibrav = 0, nat = 5, ntyp = 3
/
ATOMIC_SPECIES
Ta 180.95 Ta.upf
Rh 102.91 Rh.upf
Os 190.23 Os.upf
ATOMIC_POSITIONS crystal
Ta 0.000 0.500 0.000
Ta 0.500 0.000 0.000
Ta 0.000 0.000 0.500
Rh 0.000 0.000 0.000
Os 0.500 0.500 0.500
CELL_PARAMETERS angstrom
4.701 0.000 0.000
0.000 4.701 0.000
0.000 0.000 4.701
```

***

The winner here is entry w, beating the second structure by 208 meV/atom.